<P>
{
  "formula": "AgSb2IF",
  "functional": "PBE-GGA",
  "state": "optimized geometry",
  "cell": [[4.693, 0.000, 0.000], [0.000, 4.693, 0.000], [0.000, 0.000, 6.187]],
  "species": ["Ag", "Sb", "Sb", "I", "F"],
  "frac_coords": [[0.000, 0.000, 0.000], [0.000, 0.500, 0.500], [0.500, 0.000, 0.500], [0.500, 0.500, 0.000], [0.500, 0.500, 0.500]],
  "spacegroup": "No. 123",
  "mass_density_g_cm3": 6.059,
  "dos_at_fermi_per_ev_atom": 0.508
}


<Q>
{
  "formula": "AgSb2IF",
  "functional": "PBE-GGA",
  "state": "optimized geometry",
  "cell": [[5.349, 0.000, 0.000], [0.000, 5.349, 0.000], [0.000, 0.000, 5.619]],
  "species": ["Ag", "Sb", "Sb", "I", "F"],
  "frac_coords": [[0.000, 0.000, 0.000], [0.000, 0.500, 0.000], [0.500, 0.000, 0.000], [0.000, 0.000, 0.500], [0.500, 0.500, 0.500]],
  "spacegroup": "No. 123",
  "mass_density_g_cm3": 5.137,
  "dos_at_fermi_per_ev_atom": 0.632
}


The structure with the greatest stability is <P>.


<P>
{
  "formula": "In3AgF",
  "functional": "PBE-GGA",
  "state": "optimized geometry",
  "cell": [[5.008, 0.000, 0.000], [0.000, 5.008, 0.000], [0.000, 0.000, 5.008]],
  "species": ["In", "In", "In", "Ag", "F"],
  "frac_coords": [[0.000, 0.000, 0.500], [0.000, 0.500, 0.000], [0.500, 0.000, 0.000], [0.500, 0.500, 0.500], [0.000, 0.000, 0.000]],
  "spacegroup": "No. 221",
  "mass_density_g_cm3": 6.232,
  "dos_at_fermi_per_ev_atom": 0.322
}


<Q>
{
  "formula": "In3AgF",
  "functional": "PBE-GGA",
  "state": "optimized geometry",
  "cell": [[5.360, 0.000, 0.000], [0.000, 5.360, 0.000], [0.000, 0.000, 5.360]],
  "species": ["In", "In", "In", "Ag", "F"],
  "frac_coords": [[0.000, 0.000, 0.500], [0.000, 0.500, 0.000], [0.500, 0.000, 0.000], [0.000, 0.000, 0.000], [0.500, 0.500, 0.500]],
  "spacegroup": "No. 221",
  "mass_density_g_cm3": 5.084,
  "dos_at_fermi_per_ev_atom": 0.415
}


The structure with the greatest stability is <P>.


<P>
{
  "formula": "InAgF4",
  "functional": "PBE-GGA",
  "state": "optimized geometry",
  "cell": [[3.776, -3.953, 0.000], [3.776, 3.953, 0.000], [0.000, 0.000, 3.427]],
  "species": ["In", "Ag", "F", "F", "F", "F"],
  "frac_coords": [[0.000, 0.000, 0.000], [0.500, 0.500, 0.500], [0.170, 0.830, 0.500], [0.272, 0.272, 0.000], [0.728, 0.728, 0.000], [0.830, 0.170, 0.500]],
  "spacegroup": "No. 65",
  "mass_density_g_cm3": 4.849
}


<Q>
{
  "formula": "InAgF4",
  "functional": "PBE-GGA",
  "state": "optimized geometry",
  "cell": [[6.086, 0.000, 0.000], [0.000, 5.412, 0.000], [-1.105, 0.000, 5.752]],
  "species": ["In", "In", "Ag", "Ag", "F", "F", "F", "F", "F", "F", "F", "F"],
  "frac_coords": [[0.000, 0.000, 0.000], [0.000, 0.500, 0.500], [0.500, 0.000, 0.500], [0.500, 0.500, 0.000], [0.115, 0.195, 0.726], [0.115, 0.305, 0.226], [0.312, 0.651, 0.618], [0.312, 0.849, 0.118], [0.688, 0.151, 0.882], [0.688, 0.349, 0.382], [0.885, 0.695, 0.774], [0.885, 0.805, 0.274]],
  "spacegroup": "No. 14",
  "mass_density_g_cm3": 5.236
}


The structure with the greatest stability is <Q>.


<P>
{
  "formula": "InAgF2",
  "functional": "PBE-GGA",
  "state": "optimized geometry",
  "cell": [[1.913, 1.105, 7.321], [-1.913, 1.105, 7.321], [0.000, -2.209, 7.321]],
  "species": ["In", "Ag", "F", "F"],
  "frac_coords": [[0.000, 0.000, 0.000], [0.500, 0.500, 0.500], [0.405, 0.405, 0.405], [0.595, 0.595, 0.595]],
  "spacegroup": "No. 166",
  "mass_density_g_cm3": 4.662
}


<Q>
{
  "formula": "InAgF2",
  "functional": "PBE-GGA",
  "state": "optimized geometry",
  "cell": [[-2.362, 2.362, 7.115], [2.362, -2.362, 7.115], [2.362, 2.362, -7.115]],
  "species": ["In", "In", "Ag", "Ag", "F", "F", "F", "F"],
  "frac_coords": [[0.000, 0.000, 0.000], [0.750, 0.250, 0.500], [0.250, 0.750, 0.500], [0.500, 0.500, 0.000], [0.152, 0.625, 0.027], [0.375, 0.402, 0.527], [0.598, 0.125, 0.973], [0.875, 0.848, 0.473]],
  "spacegroup": "No. 122",
  "mass_density_g_cm3": 5.452
}


<R>
{
  "formula": "InAgF2",
  "functional": "PBE-GGA",
  "state": "optimized geometry",
  "cell": [[0.000, 3.180, 3.180], [3.180, 0.000, 3.180], [3.180, 3.180, 0.000]],
  "species": ["In", "Ag", "F", "F"],
  "frac_coords": [[0.000, 0.000, 0.000], [0.500, 0.500, 0.500], [0.250, 0.250, 0.250], [0.750, 0.750, 0.750]],
  "spacegroup": "No. 225",
  "mass_density_g_cm3": 6.731,
  "dos_at_fermi_per_ev_atom": 0.000
}


The structure with the greatest stability is <Q>.


<P>
{
  "formula": "InAg2F",
  "functional": "PBE-GGA",
  "state": "optimized geometry",
  "cell": [[-3.703, 3.703, 2.738], [3.703, -3.703, 2.738], [3.703, 3.703, -2.738]],
  "species": ["In", "In", "Ag", "Ag", "Ag", "Ag", "F", "F"],
  "frac_coords": [[0.000, 0.000, 0.000], [0.750, 0.250, 0.500], [0.166, 0.625, 0.041], [0.375, 0.416, 0.541], [0.584, 0.125, 0.959], [0.875, 0.834, 0.459], [0.250, 0.750, 0.500], [0.500, 0.500, 0.000]],
  "spacegroup": "No. 122",
  "mass_density_g_cm3": 7.729,
  "dos_at_fermi_per_ev_atom": 0.145
}


<Q>
{
  "formula": "InAg2F",
  "functional": "PBE-GGA",
  "state": "optimized geometry",
  "cell": [[0.000, 3.321, 3.321], [3.321, 0.000, 3.321], [3.321, 3.321, 0.000]],
  "species": ["In", "Ag", "Ag", "F"],
  "frac_coords": [[0.000, 0.000, 0.000], [0.250, 0.250, 0.250], [0.750, 0.750, 0.750], [0.500, 0.500, 0.500]],
  "spacegroup": "No. 225",
  "mass_density_g_cm3": 7.925,
  "dos_at_fermi_per_ev_atom": 0.328
}


The structure with the greatest stability is <P>.


<P>
{
  "formula": "InAgN2F",
  "functional": "PBE-GGA",
  "state": "optimized geometry",
  "cell": [[4.335, 0.000, 0.000], [0.000, 4.335, 0.000], [0.000, 0.000, 4.299]],
  "species": ["In", "Ag", "N", "N", "F"],
  "frac_coords": [[0.000, 0.000, 0.000], [0.500, 0.500, 0.500], [0.000, 0.500, 0.000], [0.500, 0.000, 0.000], [0.000, 0.000, 0.500]],
  "spacegroup": "No. 123",
  "mass_density_g_cm3": 5.544,
  "dos_at_fermi_per_ev_atom": 0.185
}


<Q>
{
  "formula": "InAgN2F",
  "functional": "PBE-GGA",
  "state": "optimized geometry",
  "cell": [[4.108, 0.000, 0.000], [0.000, 4.108, 0.000], [0.000, 0.000, 4.418]],
  "species": ["In", "Ag", "N", "N", "F"],
  "frac_coords": [[0.000, 0.000, 0.000], [0.500, 0.500, 0.500], [0.000, 0.500, 0.500], [0.500, 0.000, 0.500], [0.500, 0.500, 0.000]],
  "spacegroup": "No. 123",
  "mass_density_g_cm3": 6.008,
  "dos_at_fermi_per_ev_atom": 0.647
}


The structure with the greatest stability is <P>.


<P>
{
  "formula": "Ag2IrF2",
  "functional": "PBE-GGA",
  "state": "optimized geometry",
  "cell": [[-1.719, 1.719, 6.097], [1.719, -1.719, 6.097], [1.719, 1.719, -6.097]],
  "species": ["Ag", "Ag", "Ir", "F", "F"],
  "frac_coords": [[0.123, 0.123, 0.000], [0.877, 0.877, 0.000], [0.500, 0.500, 0.000], [0.250, 0.750, 0.500], [0.750, 0.250, 0.500]],
  "spacegroup": "No. 139",
  "mass_density_g_cm3": 10.276,
  "dos_at_fermi_per_ev_atom": 0.978
}


<Q>
{
  "formula": "Ag2IrF2",
  "functional": "PBE-GGA",
  "state": "optimized geometry",
  "cell": [[7.414, 0.000, 0.000], [0.000, 7.414, 0.000], [0.000, 0.000, 2.634]],
  "species": ["Ag", "Ag", "Ag", "Ag", "Ir", "Ir", "F", "F", "F", "F"],
  "frac_coords": [[0.159, 0.341, 0.000], [0.341, 0.841, 0.000], [0.659, 0.159, 0.000], [0.841, 0.659, 0.000], [0.000, 0.000, 0.000], [0.500, 0.500, 0.000], [0.132, 0.632, 0.500], [0.368, 0.132, 0.500], [0.632, 0.868, 0.500], [0.868, 0.368, 0.500]],
  "spacegroup": "No. 127",
  "mass_density_g_cm3": 10.229,
  "dos_at_fermi_per_ev_atom": 1.093
}


The structure with the greatest stability is <P>.


<P>
{
  "formula": "Ag3IrF6",
  "functional": "PBE-GGA",
  "state": "optimized geometry",
  "cell": [[6.100, 0.000, 0.000], [0.000, 5.959, 0.000], [-5.673, 0.000, 8.449]],
  "species": ["Ag", "Ag", "Ag", "Ag", "Ag", "Ag", "Ir", "Ir", "F", "F", "F", "F", "F", "F", "F", "F", "F", "F", "F", "F"],
  "frac_coords": [[0.000, 0.000, 0.000], [0.000, 0.500, 0.500], [0.212, 0.072, 0.736], [0.212, 0.428, 0.236], [0.788, 0.572, 0.764], [0.788, 0.928, 0.264], [0.500, 0.000, 0.500], [0.500, 0.500, 0.000], [0.166, 0.172, 0.437], [0.166, 0.328, 0.937], [0.257, 0.727, 0.422], [0.257, 0.773, 0.922], [0.416, 0.043, 0.278], [0.416, 0.457, 0.778], [0.584, 0.543, 0.222], [0.584, 0.957, 0.722], [0.743, 0.227, 0.078], [0.743, 0.273, 0.578], [0.834, 0.672, 0.063], [0.834, 0.828, 0.563]],
  "spacegroup": "No. 14",
  "mass_density_g_cm3": 6.811,
  "dos_at_fermi_per_ev_atom": 0.638
}


<Q>
{
  "formula": "Ag3IrF6",
  "functional": "PBE-GGA",
  "state": "optimized geometry",
  "cell": [[0.000, 4.263, 5.256], [3.668, 0.000, 5.256], [3.668, 4.263, 0.000]],
  "species": ["Ag", "Ag", "Ag", "Ir", "F", "F", "F", "F", "F", "F"],
  "frac_coords": [[0.000, 0.000, 0.000], [0.250, 0.250, 0.250], [0.750, 0.750, 0.750], [0.500, 0.500, 0.500], [0.167, 0.570, 0.833], [0.264, 0.736, 0.264], [0.430, 0.833, 0.570], [0.570, 0.167, 0.430], [0.736, 0.264, 0.736], [0.833, 0.430, 0.167]],
  "spacegroup": "No. 69",
  "mass_density_g_cm3": 6.362,
  "dos_at_fermi_per_ev_atom": 0.865
}


The structure with the greatest stability is <P>.


<P>
{
  "formula": "AgIrOF2",
  "functional": "PBE-GGA",
  "state": "optimized geometry",
  "cell": [[4.452, 0.000, 0.000], [0.000, 4.452, 0.000], [0.000, 0.000, 3.713]],
  "species": ["Ag", "Ir", "O", "F", "F"],
  "frac_coords": [[0.000, 0.000, 0.000], [0.500, 0.500, 0.500], [0.500, 0.500, 0.000], [0.000, 0.500, 0.500], [0.500, 0.000, 0.500]],
  "spacegroup": "No. 123",
  "mass_density_g_cm3": 7.989,
  "dos_at_fermi_per_ev_atom": 0.424
}


<Q>
{
  "formula": "AgIrOF2",
  "functional": "PBE-GGA",
  "state": "optimized geometry",
  "cell": [[4.220, 0.000, 0.000], [0.000, 4.220, 0.000], [0.000, 0.000, 4.217]],
  "species": ["Ag", "Ir", "O", "F", "F"],
  "frac_coords": [[0.000, 0.000, 0.000], [0.500, 0.500, 0.500], [0.000, 0.000, 0.500], [0.000, 0.500, 0.000], [0.500, 0.000, 0.000]],
  "spacegroup": "No. 123",
  "mass_density_g_cm3": 7.830,
  "dos_at_fermi_per_ev_atom": 0.890
}


The structure with the greatest stability is <P>.


<P>
{
  "formula": "K2AgF3",
  "functional": "PBE-GGA",
  "state": "optimized geometry",
  "cell": [[6.184, -3.292, 0.000], [6.184, 3.292, 0.000], [-2.648, 0.000, 6.058]],
  "species": ["K", "K", "K", "K", "Ag", "Ag", "F", "F", "F", "F", "F", "F"],
  "frac_coords": [[0.014, 0.299, 0.174], [0.299, 0.014, 0.674], [0.701, 0.986, 0.326], [0.986, 0.701, 0.826], [0.457, 0.543, 0.250], [0.543, 0.457, 0.750], [0.084, 0.916, 0.250], [0.311, 0.324, 0.548], [0.324, 0.311, 0.048], [0.676, 0.689, 0.952], [0.689, 0.676, 0.452], [0.916, 0.084, 0.750]],
  "spacegroup": "No. 15",
  "mass_density_g_cm3": 3.273,
  "dos_at_fermi_per_ev_atom": 0.000
}


<Q>
{
  "formula": "K2AgF3",
  "functional": "PBE-GGA",
  "state": "optimized geometry",
  "cell": [[-1.871, 2.655, 5.541], [1.871, -2.655, 5.541], [1.871, 2.655, -5.541]],
  "species": ["K", "K", "Ag", "F", "F", "F"],
  "frac_coords": [[0.165, 0.165, 0.000], [0.835, 0.835, 0.000], [0.500, 0.500, 0.000], [0.000, 0.500, 0.500], [0.345, 0.845, 0.500], [0.655, 0.155, 0.500]],
  "spacegroup": "No. 71",
  "mass_density_g_cm3": 3.667,
  "dos_at_fermi_per_ev_atom": 0.000
}


The structure with the greatest stability is <Q>.


<P>
{
  "formula": "KAg2F3",
  "functional": "PBE-GGA",
  "state": "optimized geometry",
  "cell": [[5.266, -3.568, 0.000], [5.266, 3.568, 0.000], [0.000, 0.000, 5.944]],
  "species": ["K", "K", "Ag", "Ag", "Ag", "Ag", "F", "F", "F", "F", "F", "F"],
  "frac_coords": [[0.105, 0.895, 0.750], [0.895, 0.105, 0.250], [0.321, 0.321, 0.000], [0.321, 0.321, 0.500], [0.679, 0.679, 0.000], [0.679, 0.679, 0.500], [0.022, 0.323, 0.750], [0.323, 0.022, 0.250], [0.450, 0.550, 0.750], [0.550, 0.450, 0.250], [0.677, 0.978, 0.750], [0.978, 0.677, 0.250]],
  "spacegroup": "No. 63",
  "mass_density_g_cm3": 4.637
}


<Q>
{
  "formula": "KAg2F3",
  "functional": "PBE-GGA",
  "state": "optimized geometry",
  "cell": [[6.099, -2.733, 0.000], [6.099, 2.733, 0.000], [0.000, 0.000, 6.241]],
  "species": ["K", "K", "Ag", "Ag", "Ag", "Ag", "F", "F", "F", "F", "F", "F"],
  "frac_coords": [[0.157, 0.843, 0.500], [0.843, 0.157, 0.000], [0.168, 0.455, 0.939], [0.455, 0.168, 0.439], [0.545, 0.832, 0.939], [0.832, 0.545, 0.439], [0.109, 0.220, 0.724], [0.220, 0.109, 0.224], [0.362, 0.638, 0.911], [0.638, 0.362, 0.411], [0.780, 0.891, 0.724], [0.891, 0.780, 0.224]],
  "spacegroup": "No. 36",
  "mass_density_g_cm3": 4.978
}


The structure with the greatest stability is <Q>.


<P>
{
  "formula": "KAg2F8",
  "functional": "PBE-GGA",
  "state": "optimized geometry",
  "cell": [[5.239, 0.000, 0.000], [0.000, 5.239, 0.000], [0.000, 0.000, 6.504]],
  "species": ["K", "Ag", "Ag", "F", "F", "F", "F", "F", "F", "F", "F"],
  "frac_coords": [[0.000, 0.000, 0.000], [0.000, 0.500, 0.500], [0.500, 0.000, 0.500], [0.251, 0.251, 0.307], [0.251, 0.251, 0.693], [0.251, 0.749, 0.307], [0.251, 0.749, 0.693], [0.749, 0.251, 0.307], [0.749, 0.251, 0.693], [0.749, 0.749, 0.307], [0.749, 0.749, 0.693]],
  "spacegroup": "No. 123",
  "mass_density_g_cm3": 3.784,
  "dos_at_fermi_per_ev_atom": 0.532
}


<Q>
{
  "formula": "KAg2F8",
  "functional": "PBE-GGA",
  "state": "optimized geometry",
  "cell": [[4.826, 0.000, 0.000], [0.639, 6.525, 0.000], [0.673, 1.622, 6.358]],
  "species": ["K", "Ag", "Ag", "F", "F", "F", "F", "F", "F", "F", "F"],
  "frac_coords": [[0.000, 0.000, 0.000], [0.280, 0.374, 0.375], [0.720, 0.626, 0.625], [0.233, 0.570, 0.569], [0.273, 0.133, 0.617], [0.275, 0.617, 0.135], [0.325, 0.186, 0.188], [0.675, 0.814, 0.812], [0.725, 0.383, 0.865], [0.727, 0.867, 0.383], [0.767, 0.430, 0.431]],
  "spacegroup": "No. 2",
  "mass_density_g_cm3": 3.374,
  "dos_at_fermi_per_ev_atom": 1.135
}


The structure with the greatest stability is <Q>.